Below is an optimized crystal structure of TePb2O, with properties calculated at the PBE-GGA level.

Cell: 7.298 7.298 7.298 Å, 32.99 32.99 32.99°
Sites, in units of the cell vectors:
Te1 0.000 0.000 0.000
Pb1 0.230 0.230 0.230
Pb2 0.770 0.770 0.770
O1 0.500 0.500 0.500

Calculated values
Energy (eV per atom): -4.418
DOS(E_F) (states/eV/cell): 0.43
Energy above the lowest structure with this stoichiometry (meV/atom): 142
Formation energy without anion corrections (eV/atom): -0.539
Theoretical density (Mg/m³): 9.0

***

Below is an optimized crystal structure of La6GeAs3Cl2, with properties calculated at the PBE-GGA level.

Cell: 7.515 7.515 7.517 Å, 99.58 99.58 119.94°
Sites, in units of the cell vectors:
La1 0.087 0.411 0.761
La2 0.237 0.237 0.240
La3 0.411 0.087 0.761
La4 0.589 0.913 0.239
La5 0.763 0.763 0.760
La6 0.913 0.589 0.239
Ge1 0.000 0.000 0.500
As1 0.169 0.831 0.000
As2 0.500 0.500 0.000
As3 0.831 0.169 0.000
Cl1 0.334 0.666 0.500
Cl2 0.666 0.334 0.500

Calculated values
Energy (eV per atom): -5.882
DOS(E_F) (states/eV/cell): 5.68
Formation energy without anion corrections (eV/atom): -1.564
Theoretical density (Mg/m³): 5.8

***

Below is an optimized crystal structure of BeNbGeB2, with properties calculated at the PBE-GGA level.

Cell: 4.270 4.270 4.535 Å, 90.00 90.00 90.00°
Sites, in units of the cell vectors:
Be1 0.000 0.000 0.000
Nb1 0.000 0.000 0.500
Ge1 0.500 0.500 0.000
B1 0.000 0.500 0.500
B2 0.500 0.000 0.500

Calculated values
Energy (eV per atom): -4.912
DOS(E_F) (states/eV/cell): 2.24
Formation enthalpy at 0 K (meV/atom): 1442
Theoretical density (Mg/m³): 3.9

***

Below is an optimized crystal structure of Mo2RuBr, with properties calculated at the PBE-GGA level.

Cell: 6.891 6.891 6.891 Å, 131.22 131.22 71.46°
Sites, in units of the cell vectors:
Mo1 0.107 0.625 0.982
Mo2 0.375 0.357 0.482
Mo3 0.643 0.125 0.018
Mo4 0.875 0.893 0.518
Ru1 0.000 0.000 0.000
Ru2 0.750 0.250 0.500
Br1 0.250 0.750 0.500
Br2 0.500 0.500 0.000

Calculated values
Energy (eV per atom): -6.986
DOS(E_F) (states/eV/cell): 7.20
Energy above the lowest structure with this stoichiometry (meV/atom): 756
Formation energy without anion corrections (eV/atom): 1.167
Theoretical density (Mg/m³): 6.8

***

Below is an optimized crystal structure of SmCdAu, with properties calculated at the PBE-GGA level.

Cell: 4.860 4.860 3.494 Å, 90.00 90.00 120.00°
Sites, in units of the cell vectors:
Sm1 0.000 0.000 0.000
Cd1 0.667 0.333 0.500
Au1 0.333 0.667 0.500

Calculated values
Energy (eV per atom): -3.541
DOS(E_F) (states/eV/cell): 1.74
Formation enthalpy at 0 K (meV/atom): -570
Theoretical density (Mg/m³): 10.7

***

Below is an optimized crystal structure of Ba3BiSb, with properties calculated at the PBE-GGA level.

Cell: 10.231 9.498 9.783 Å, 90.00 99.69 90.00°
Sites, in units of the cell vectors:
Ba1 0.061 0.010 0.222
Ba2 0.061 0.490 0.722
Ba3 0.277 0.112 0.588
Ba4 0.277 0.388 0.088
Ba5 0.377 0.702 0.484
Ba6 0.377 0.798 0.984
Ba7 0.623 0.202 0.016
Ba8 0.623 0.298 0.516
Ba9 0.723 0.612 0.912
Ba10 0.723 0.888 0.412
Ba11 0.939 0.510 0.278
Ba12 0.939 0.990 0.778
Bi1 0.413 0.066 0.265
Bi2 0.413 0.434 0.765
Bi3 0.587 0.566 0.235
Bi4 0.587 0.934 0.735
Sb1 0.062 0.713 0.016
Sb2 0.062 0.787 0.516
Sb3 0.938 0.213 0.484
Sb4 0.938 0.287 0.984

Calculated values
Energy (eV per atom): -3.708
DOS(E_F) (states/eV/cell): 0.59
Energy above the lowest structure with this stoichiometry (meV/atom): 0
Formation energy without anion corrections (eV/atom): -0.953
Theoretical density (Mg/m³): 5.3

***

Calculated total magnetic moment in order - 0.00; 0.00; 0.00; 0.00; 0.00; 0.00 μB per cell